Record 1
VASP calculation (PBE) on a relaxed Tm2SnPd5Au crystal.

Results
DFT formation energy   -369 meV/atom
Total DFT energy (no corrections)   -5.057 eV per atom
Space group   I4/mcm, No. 140

```
data_Tm2SnPd5Au
_chemical_formula_sum 'Tm4 Sn2 Pd10 Au2'
_space_group_name_H-M_alt 'P 1'
_space_group_IT_number 1
_cell_length_a 8.367
_cell_length_b 8.367
_cell_length_c 7.957
_cell_angle_alpha 121.72
_cell_angle_beta 121.72
_cell_angle_gamma 90.00
loop_
_space_group_symop_operation_xyz
'x,y,z'
loop_
_atom_site_label
_atom_site_type_symbol
_atom_site_fract_x
_atom_site_fract_y
_atom_site_fract_z
Tm1 Tm 0.127 0.373 0.000
Tm2 Tm 0.627 0.127 0.000
Tm3 Tm 0.373 0.873 0.000
Tm4 Tm 0.873 0.627 0.000
Sn1 Sn 0.250 0.250 0.500
Sn2 Sn 0.750 0.750 0.500
Pd1 Pd 0.939 0.439 0.266
Pd2 Pd 0.673 0.173 0.734
Pd3 Pd 0.061 0.561 0.734
Pd4 Pd 0.173 0.061 0.734
Pd5 Pd 0.561 0.673 0.734
Pd6 Pd 0.827 0.939 0.266
Pd7 Pd 0.439 0.327 0.266
Pd8 Pd 0.327 0.827 0.266
Pd9 Pd 0.500 0.500 0.000
Pd10 Pd 0.000 0.000 0.000
Au1 Au 0.250 0.750 0.500
Au2 Au 0.750 0.250 0.500
```



Record 2
VASP calculation (PBE) on a relaxed Th4BiAuSe2 crystal.

Results
E_form (uncorrected)   -1022 meV per atom
Total DFT energy (no corrections)   -6.497 eV per atom
Space group   P2/m, No. 10

```
data_Th4BiAuSe2
_chemical_formula_sum 'Th4 Bi1 Au1 Se2'
_space_group_name_H-M_alt 'P 1'
_space_group_IT_number 1
_cell_length_a 4.264
_cell_length_b 7.395
_cell_length_c 7.790
_cell_angle_alpha 71.26
_cell_angle_beta 90.00
_cell_angle_gamma 90.00
loop_
_space_group_symop_operation_xyz
'x,y,z'
loop_
_atom_site_label
_atom_site_type_symbol
_atom_site_fract_x
_atom_site_fract_y
_atom_site_fract_z
Th1 Th 0.000 0.773 0.731
Th2 Th 0.000 0.227 0.269
Th3 Th 0.500 0.754 0.264
Th4 Th 0.500 0.246 0.736
Bi1 Bi 0.500 0.500 0.000
Au1 Au 0.000 0.500 0.500
Se1 Se 0.000 0.000 0.000
Se2 Se 0.500 0.000 0.500
```



Record 3
VASP calculation (PBE) on a relaxed Y2CrRh crystal.

Results
DFT formation energy   78 meV/atom
Offset from the most stable computed form   0.2936 eV per atom
Total DFT energy (no corrections)   -7.397 eV per atom
Space group   R-3m, No. 166

```
data_Y2CrRh
_chemical_formula_sum 'Y2 Cr1 Rh1'
_space_group_name_H-M_alt 'P 1'
_space_group_IT_number 1
_cell_length_a 8.465
_cell_length_b 8.465
_cell_length_c 8.465
_cell_angle_alpha 25.80
_cell_angle_beta 25.80
_cell_angle_gamma 25.80
loop_
_space_group_symop_operation_xyz
'x,y,z'
loop_
_atom_site_label
_atom_site_type_symbol
_atom_site_fract_x
_atom_site_fract_y
_atom_site_fract_z
Cr1 Cr 0.250 0.250 0.250
Rh1 Rh 0.750 0.750 0.750
Y1 Y 0.014 0.014 0.014
Y2 Y 0.486 0.486 0.486
```